# ScIn2CoHg (PBE-GGA, relaxed)
# Raw total energy: -3.956 eV/atom
# Energy relative to the elements: -0.1127 eV per atom
data_ScIn2CoHg
_chemical_formula_sum 'Sc1 In2 Co1 Hg1'
_space_group_name_H-M_alt 'P 4/m m m'
_space_group_IT_number 123
_space_group_name_Hall '-P 4 2'
_cell_length_a 4.969
_cell_length_b 4.969
_cell_length_c 4.664
_cell_angle_alpha 90.00
_cell_angle_beta 90.00
_cell_angle_gamma 90.00
loop_
_atom_site_label
_atom_site_type_symbol
_atom_site_fract_x
_atom_site_fract_y
_atom_site_fract_z
Sc1 Sc 0.000 0.000 0.000
In1 In 0.000 0.500 0.500
Co1 Co 0.000 0.000 0.500
Hg1 Hg 0.500 0.500 0.000